[1]
This record from Alexandria via LeMat-Bulk describes Ca2Zn3Ga4Rh after structural relaxation. The functional is PBE-GGA.

Properties
N(E_F) = 0.544 states/eV per atom
ΔH_f (0 K) = -398 meV per atom
total magnetization = 0.0 μB per formula unit

abc: 4.2443 4.2443 10.6817
angles: 90.00 90.00 90.00
Closest atoms and distances in Å follow each position.
Space group P-4m2 (No. 115)
Inequivalent atoms, fractional coordinates:
1 Ca 0.0000 0.5000 0.2466 (multiplicity 2)  6 Zn 3.24-3.38, 8 Ga 3.26-3.44, 2 Rh 3.38
2 Zn 0.0000 0.0000 0.0000 (multiplicity 1)  4 Ga 2.52
3 Zn 0.0000 0.5000 0.6393 (multiplicity 2)  5 Ga 2.49-2.59
4 Ga 0.0000 0.0000 0.5000 (multiplicity 1)  4 Zn 2.59
5 Ga 0.0000 0.5000 0.8721 (multiplicity 2)  3 Zn 2.49-2.52, 2 Rh 2.52
6 Ga 0.5000 0.5000 0.5000 (multiplicity 1)  4 Zn 2.59
7 Rh 0.5000 0.5000 0.0000 (multiplicity 1)  4 Ga 2.52

[2]
This record from Alexandria via LeMat-Bulk describes YAg2Os after structural relaxation. The functional is PBE-GGA.

Properties
N(E_F) = 0.780 states/eV per atom
ΔH_f (0 K) = 350 meV per atom
total magnetization = 0.0 μB per formula unit

abc: 2.9704 4.4244 5.7044
angles: 90.00 90.00 90.00
Closest atoms and distances in Å follow each position.
Space group Pmmm (No. 47)
Inequivalent atoms, fractional coordinates:
1 Y 0.0000 0.0000 0.0000 (multiplicity 1)  2 Os 2.85, 2 Y 2.97, 8 Ag 3.07
2 Ag 0.5000 0.5000 0.2659 (multiplicity 2)  3 Ag 2.67-2.97, 4 Os 2.98
3 Os 0.0000 0.0000 0.5000 (multiplicity 1)  2 Y 2.85, 2 Os 2.97, 8 Ag 2.98

[3]
This record from Alexandria via LeMat-Bulk describes CuIr3Os after structural relaxation. The functional is PBE-GGA.

Properties
N(E_F) = 1.073 states/eV per atom
ΔH_f (0 K) = 1921 meV per atom
total magnetization = 0.0 μB per formula unit

abc: 4.7272 4.7272 4.7272
angles: 90.00 90.00 90.00
Closest atoms and distances in Å follow each position.
Space group Pm-3m (No. 221)
Inequivalent atoms, fractional coordinates:
1 Cu 0.0000 0.0000 0.0000 (multiplicity 1)  12 Ir 3.34
2 Ir 0.0000 0.5000 0.5000 (multiplicity 3)  2 Os 2.36
3 Os 0.5000 0.5000 0.5000 (multiplicity 1)  6 Ir 2.36

[4]
This record from Alexandria via LeMat-Bulk describes SrIBr2 after structural relaxation. The functional is PBE-GGA.

Properties
N(E_F) = 1.377 states/eV per atom
total magnetization = 1.0 μB per formula unit
uncorrected energy = -2.765 eV per atom

abc: 8.0613 8.0613 8.0613
angles: 90.00 90.00 90.00
Closest atoms and distances in Å follow each position.
Space group Fm-3m (No. 225)
Inequivalent atoms, fractional coordinates:
1 Sr 0.0000 0.0000 0.0000 (multiplicity 4)  8 Br 3.49
2 I 0.0000 0.0000 0.5000 (multiplicity 4)  8 Br 3.49
3 Br 0.2500 0.2500 0.2500 (multiplicity 8)  4 I 3.49, 4 Sr 3.49

[5]
This record from Alexandria via LeMat-Bulk describes SrSN2F after structural relaxation. The functional is PBE-GGA.

Properties
N(E_F) = 0.497 states/eV per atom
total magnetization = 3.1 μB per formula unit
uncorrected energy = -3.918 eV per atom

abc: 5.2372 5.2372 4.5985
angles: 90.00 90.00 90.00
Closest atoms and distances in Å follow each position.
Space group P4/mmm (No. 123)
Inequivalent atoms, fractional coordinates:
1 Sr 0.0000 0.0000 0.0000 (multiplicity 1)  2 F 2.30
2 S 0.5000 0.5000 0.5000 (multiplicity 1)  8 N 3.48, 4 F 3.70
3 N 0.0000 0.5000 0.0000 (multiplicity 2)  2 Sr 2.62
4 F 0.0000 0.0000 0.5000 (multiplicity 1)  2 Sr 2.30

[6]
This record from Alexandria via LeMat-Bulk describes CaTlRu after structural relaxation. The functional is PBE-GGA.

Properties
N(E_F) = 0.510 states/eV per atom
ΔH_f (0 K) = 15 meV per atom
total magnetization = 0.0 μB per formula unit

abc: 10.4898 4.2673 7.5555
angles: 90.00 118.39 90.00
Closest atoms and distances in Å follow each position.
Space group Cm (No. 8)
Inequivalent atoms, fractional coordinates:
1 Ca 0.0000 0.0000 0.0000 (multiplicity 2)  4 Ru 2.94-3.16
2 Ca 0.1936 0.5000 0.4082 (multiplicity 2)  3 Ru 3.00-3.30
3 Tl 0.2297 0.0000 0.7755 (multiplicity 2)  3 Ru 2.90-2.92, 2 Tl 3.17
4 Tl 0.4762 0.0000 0.6230 (multiplicity 2)  2 Ru 2.79-3.04
5 Ru 0.2357 0.5000 0.0424 (multiplicity 2)  2 Ru 2.41
6 Ru 0.3248 0.0000 0.2034 (multiplicity 2)  2 Ru 2.41